Density functional theory data (PBE) for TmInGeSe3 after structural relaxation.

Cell: 7.8686 7.8686 11.0844 Å, 90.00 90.00 150.12°
Fractional coordinates of all 12 atoms:
Tm  0.0000  0.0000  0.0000
Tm  0.0000  0.0000  0.5000
In  0.2910  0.7090  0.7500
In  0.7090  0.2910  0.2500
Ge  0.3716  0.6284  0.2500
Ge  0.6284  0.3716  0.7500
Se  0.0166  0.9834  0.7500
Se  0.3706  0.6294  0.5062
Se  0.3706  0.6294  0.9938
Se  0.6294  0.3706  0.0062
Se  0.6294  0.3706  0.4938
Se  0.9834  0.0166  0.2500

## Properties
Total DFT energy (no corrections) (eV for the cell shown): -54.7
Density (g/cm3): 5.763